# 1
First-principles (PBE-GGA) data for an optimized crystal structure of Sr3La2PmTe6, as listed in Alexandria via LeMat-Bulk.

Cell and atoms, written as POSCAR:
```
Sr3La2PmTe6
1.0
-3.7081 -2.7050 -0.1977
5.0034 -7.1071 3.3983
-1.9595 5.9811 8.2977
Sr La Pm Te
3 2 1 6
Direct
0.5000 0.5000 0.0000
0.8326 0.1668 0.6652
0.1674 0.8332 0.3348
0.8352 0.6706 0.6704
0.1648 0.3294 0.3296
0.5000 0.0000 0.0000
0.3365 0.9170 0.6729
0.6683 0.5796 0.3366
0.6635 0.0830 0.3271
0.9999 0.2420 0.9999
0.0001 0.7580 0.0001
0.3317 0.4204 0.6634
```

Final energy, eV per atom: -4.811
Space group: C2/m (12)
E_form (uncorrected), meV per atom: -1603


# 2
First-principles (PBE-GGA) data for an optimized crystal structure of Rh3BrCl, as listed in Alexandria via LeMat-Bulk.

Cell and atoms, written as POSCAR:
```
Rh3BrCl
1.0
4.6981 0.0000 0.0000
0.0000 4.6981 0.0000
0.0000 0.0000 4.6981
Rh Br Cl
3 1 1
Direct
0.0000 0.5000 0.0000
0.0000 0.0000 0.5000
0.5000 0.0000 0.0000
0.0000 0.0000 0.0000
0.5000 0.5000 0.5000
```

Final energy, eV per atom: -3.963
Space group: Pm-3m (221)
E_form (uncorrected), meV per atom: 1152


# 3
First-principles (PBE-GGA) data for an optimized crystal structure of Li2SnO2, as listed in Alexandria via LeMat-Bulk.

Cell and atoms, written as POSCAR:
```
Li2SnO2
1.0
3.3383 0.0000 0.0000
-1.6692 5.4675 -1.6411
0.0000 0.6253 8.2109
Li Sn O
4 2 4
Direct
0.6624 0.3249 0.5129
0.3376 0.6751 0.4871
0.0425 0.0850 0.6985
0.9575 0.9150 0.3015
0.3333 0.6667 0.8358
0.6666 0.3333 0.1642
0.1968 0.3936 0.6355
0.8032 0.6064 0.3644
0.5388 0.0777 0.2974
0.4612 0.9223 0.7026
```

Final energy, eV per atom: -5.123
Space group: C2/m (12)
E_form (uncorrected), meV per atom: -1573


# 4
First-principles (PBE-GGA) data for an optimized crystal structure of CaInBiBr6, as listed in Alexandria via LeMat-Bulk.

Cell and atoms, written as POSCAR:
```
CaInBiBr6
1.0
-4.6638 5.6120 1.7076
0.5167 -5.9512 4.5252
10.5350 6.5143 7.3642
Ca In Bi Br
2 2 2 12
Direct
0.3333 0.6667 0.2500
0.6667 0.3333 0.7500
0.0000 0.0000 0.0000
0.0000 0.0000 0.5000
0.6667 0.3333 0.2500
0.3333 0.6667 0.7500
0.6379 0.6349 0.1349
0.9970 0.3621 0.1349
0.3621 0.9970 0.6349
0.0030 0.6379 0.8651
0.3651 0.3621 0.3651
0.9970 0.6349 0.3651
0.6349 0.9970 0.8651
0.6379 0.0030 0.3651
0.0030 0.3651 0.6349
0.3651 0.0030 0.1349
0.6349 0.6379 0.6349
0.3621 0.3651 0.8651
```

Final energy, eV per atom: -3.239
Space group: P-31c (163)
E_form (uncorrected), meV per atom: -1166


# 5
First-principles (PBE-GGA) data for an optimized crystal structure of Li5MgSn3, as listed in Alexandria via LeMat-Bulk.

Cell and atoms, written as POSCAR:
```
Li5MgSn3
1.0
5.9369 0.0000 0.0000
0.0000 8.2746 0.0000
0.0000 -4.1373 7.1656
Li Mg Sn
10 2 6
Direct
0.0000 0.6667 0.3333
0.5000 0.3333 0.6667
0.0000 0.3333 0.6667
0.5000 0.6667 0.3333
0.7500 0.6651 0.6651
0.7500 0.0000 0.3349
0.7500 0.3348 0.0000
0.2500 0.3349 0.3349
0.2500 0.0000 0.6651
0.2500 0.6652 0.0000
0.0000 0.0000 0.0000
0.5000 0.0000 0.0000
0.7500 0.3351 0.3351
0.7500 0.0000 0.6649
0.7500 0.6649 0.0000
0.2500 0.6649 0.6649
0.2500 0.0000 0.3351
0.2500 0.3351 0.0000
```

Energy of formation, eV/atom: -0.3111
Final energy, eV per atom: -2.886
Space group: P6_3/mcm (193)


# 6
First-principles (PBE-GGA) data for an optimized crystal structure of La2NdTm9, as listed in Alexandria via LeMat-Bulk.

Cell and atoms, written as POSCAR:
```
La2NdTm9
1.0
-3.7103 3.2958 0.7717
-3.3239 -3.3309 -1.7551
-1.9213 -5.4265 13.9379
La Nd Tm
2 1 9
Direct
0.0000 0.0000 0.3339
0.0000 0.0000 0.6661
0.0000 0.0000 0.0000
0.5000 0.5000 0.0000
0.5000 0.5000 0.3321
0.5000 0.5000 0.6679
0.5000 0.0000 0.1644
0.5000 0.0000 0.5000
0.5000 0.0000 0.8356
0.0000 0.5000 0.1644
0.0000 0.5000 0.5000
0.0000 0.5000 0.8356
```

Energy of formation, eV/atom: 0.0374
Final energy, eV per atom: -4.535
Space group: P4/mmm (123)


# 7
First-principles (PBE-GGA) data for an optimized crystal structure of Mg3HRh, as listed in Alexandria via LeMat-Bulk.

Cell and atoms, written as POSCAR:
```
Mg3HRh
1.0
3.2846 0.0000 0.0000
0.0000 3.2846 0.0000
0.0000 0.0000 6.8422
Mg H Rh
3 1 1
Direct
0.0000 0.0000 0.2009
0.5000 0.5000 0.5000
0.0000 0.0000 0.7991
0.0000 0.0000 0.5000
0.5000 0.5000 0.0000
```

Final energy, eV per atom: -3.368
Space group: P4/mmm (123)


# 8
First-principles (PBE-GGA) data for an optimized crystal structure of KGaSnCl2, as listed in Alexandria via LeMat-Bulk.

Cell and atoms, written as POSCAR:
```
KGaSnCl2
1.0
-0.7651 5.3433 -1.1877
-3.1469 -1.7579 -5.8814
-4.8584 -0.1105 2.6326
K Sn Ga Cl
1 1 1 2
Direct
0.0000 0.5000 0.0000
0.0000 0.0000 0.0000
0.5000 0.5000 0.5000
0.0000 0.0000 0.5000
0.5000 0.0000 0.0000
```

Final energy, eV per atom: -2.618
Space group: P4/mmm (123)
E_form (uncorrected), meV per atom: -254


# 9
First-principles (PBE-GGA) data for an optimized crystal structure of NbV2Tc, as listed in Alexandria via LeMat-Bulk.

Cell and atoms, written as POSCAR:
```
NbV2Tc
1.0
-2.4644 -2.3196 2.7692
1.9162 -3.6821 -1.3757
4.6417 3.6319 3.7117
Nb V Tc
2 4 2
Direct
0.3739 0.3739 0.2482
0.6261 0.6261 0.7518
0.8765 0.8765 0.2532
0.1235 0.1235 0.7468
0.5000 0.0000 0.5000
0.0000 0.5000 0.5000
0.2501 0.7499 0.0000
0.7499 0.2501 0.0000
```

Energy of formation, eV/atom: -0.1923
Final energy, eV per atom: -9.861
Space group: I4/mmm (139)


# 10
First-principles (PBE-GGA) data for an optimized crystal structure of K2AsPPd6, as listed in Alexandria via LeMat-Bulk.

Cell and atoms, written as POSCAR:
```
K2AsPPd6
1.0
-4.3256 3.8361 -3.0193
-4.8367 -4.6650 1.0024
-5.4723 1.7820 3.0591
K As P Pd
2 1 1 6
Direct
0.7902 0.3707 0.4197
0.2098 0.6293 0.5803
0.5000 0.5000 0.0000
0.0000 0.0000 0.0000
0.2453 0.1595 0.5103
0.7559 0.8408 0.9136
0.3304 0.8408 0.9145
0.6696 0.1592 0.0855
0.2441 0.1592 0.0864
0.7547 0.8405 0.4897
```

Energy of formation, eV/atom: -0.3778
Final energy, eV per atom: -4.719
Space group: R-3m (166)


# 11
First-principles (PBE-GGA) data for an optimized crystal structure of Ba2AgI5, as listed in Alexandria via LeMat-Bulk.

Cell and atoms, written as POSCAR:
```
Ba2AgI5
1.0
10.2211 0.0000 -1.7937
0.0000 10.7371 0.0000
0.8691 0.0000 14.1972
Ba Ag I
8 4 20
Direct
0.7529 0.8802 0.0353
0.2529 0.6198 0.0353
0.4730 0.8394 0.3643
0.9730 0.6606 0.3643
0.0270 0.3394 0.6357
0.5270 0.1606 0.6357
0.7471 0.3802 0.9647
0.2471 0.1198 0.9647
0.4872 0.3941 0.2966
0.9872 0.1059 0.2966
0.0128 0.8941 0.7034
0.5128 0.6059 0.7034
0.9578 0.1505 0.0897
0.9143 0.6029 0.1103
0.4578 0.3495 0.0897
0.4143 0.8971 0.1103
0.7730 0.9180 0.2774
0.9903 0.3354 0.3913
0.2730 0.5820 0.2774
0.6592 0.5695 0.3914
0.4903 0.1646 0.3913
0.1592 0.9305 0.3914
0.8408 0.0695 0.6086
0.5097 0.8354 0.6087
0.3408 0.4305 0.6086
0.7270 0.4180 0.7226
0.0097 0.6646 0.6087
0.2270 0.0820 0.7226
0.5857 0.1029 0.8897
0.5422 0.6505 0.9103
0.0857 0.3971 0.8897
0.0422 0.8495 0.9103
```

Final energy, eV per atom: -3.169
Space group: P2_1/c (14)
E_form (uncorrected), meV per atom: -1364


# 12
First-principles (PBE-GGA) data for an optimized crystal structure of SmNbSi2, as listed in Alexandria via LeMat-Bulk.

Cell and atoms, written as POSCAR:
```
SmNbSi2
1.0
-0.5129 -3.2424 2.0334
2.8059 -2.6486 0.1509
3.2082 0.9226 5.9467
Nb Si Sm
1 2 1
Direct
0.0000 0.0000 0.0000
0.2627 0.2627 0.2120
0.7373 0.7373 0.7880
0.5000 0.5000 0.5000
```

Final energy, eV per atom: -6.853
Space group: R-3m (166)
E_form (uncorrected), meV per atom: -444


Results for V: 421 104 153 701 352 380 74 211 119 208 1575 83 (in Å³/cell, following the order of the records).